Below is a relaxed NbCr3F crystal, with properties calculated at the PBE with a Hubbard U level.

Values from the calculation:
The crystal system is cubic. Its space group is Pm-3m. Its distance to the lowest polymorph of the same formula is 0.00 eV per formula unit.

a = 4.4013 Å, b = 4.4013 Å, c = 4.4013 Å
α = 90.00°, β = 90.00°, γ = 90.00°
Sites, in units of the cell vectors:
Cr  0.0000  0.5000  0.0000
Cr  0.0000  0.0000  0.5000
Cr  0.5000  0.0000  0.0000
Nb  0.5000  0.5000  0.5000
F  0.0000  0.0000  0.0000